SiRhBr, relaxed, DFT PBE-GGA; SG = No. 107; formation energy without anion corrections = 65 meV/atom; E above lowest polymorph = 350 meV/atom
1.0
-1.640 1.640 5.831
1.640 -1.640 5.831
1.640 1.640 -5.831
Si Rh Br
1 1 1
direct
0.000 0.000 0.000
0.435 0.435 0.000
0.774 0.774 0.000

***

Tb3In4Ag4, relaxed, DFT PBE-GGA; SG = No. 71; formation enthalpy at 0 K = -0.296 eV per atom
1.0
-2.268 3.784 7.657
2.268 -3.784 7.657
2.268 3.784 -7.657
Tb In Ag
3 4 4
direct
0.000 0.000 0.000
0.374 0.874 0.500
0.626 0.126 0.500
0.217 0.217 0.000
0.308 0.500 0.808
0.692 0.500 0.192
0.783 0.783 0.000
0.024 0.328 0.696
0.368 0.672 0.696
0.632 0.328 0.304
0.976 0.672 0.304

***

La2InCu, relaxed, DFT PBE-GGA; SG = No. 6; formation enthalpy at 0 K = -0.258 eV per atom
1.0
3.853 0.000 0.000
0.000 4.726 0.000
-1.926 0.000 6.234
La In Cu
2 1 1
direct
0.000 0.000 0.000
0.308 0.500 0.616
0.714 0.000 0.429
0.585 0.500 0.168

***

Cd2Sn2Mo, relaxed, DFT PBE-GGA; SG = No. 139; E above lowest polymorph = 178 meV/atom; formation enthalpy at 0 K = 0.810 eV per atom
1.0
-2.098 2.098 7.333
2.098 -2.098 7.333
2.098 2.098 -7.333
Cd Sn Mo
2 2 1
direct
0.092 0.092 0.000
0.908 0.908 0.000
0.250 0.750 0.500
0.750 0.250 0.500
0.500 0.500 0.000

***

K3Pm3ScSe8, relaxed, DFT PBE-GGA; SG = No. 12; formation energy without anion corrections = -1630 meV/atom
1.0
7.286 -4.203 0.000
7.286 4.203 0.000
-4.861 0.000 7.870
K Pm Sc Se
3 3 1 8
direct
0.000 0.000 0.000
0.000 0.500 0.000
0.500 0.000 0.000
0.000 0.500 0.500
0.500 0.000 0.500
0.500 0.500 0.500
0.000 0.000 0.500
0.223 0.223 0.698
0.223 0.752 0.699
0.248 0.777 0.301
0.263 0.263 0.288
0.737 0.737 0.712
0.752 0.223 0.699
0.777 0.248 0.301
0.777 0.777 0.302

***

HoPaSn2, relaxed, DFT PBE-GGA; SG = No. 123; E above lowest polymorph = 0 meV/atom; formation enthalpy at 0 K = -0.378 eV per atom
1.0
3.382 0.000 0.000
0.000 3.382 0.000
0.000 0.000 8.984
Ho Pa Sn
1 1 2
direct
0.000 0.000 0.000
0.000 0.000 0.500
0.500 0.500 0.248
0.500 0.500 0.752

***

Y3Sb2P, relaxed, DFT PBE-GGA; SG = No. 139; formation energy without anion corrections = -1261 meV/atom
1.0
-2.140 2.140 9.040
2.140 -2.140 9.040
2.140 2.140 -9.040
Y Sb P
3 2 1
direct
0.000 0.000 0.000
0.345 0.345 0.000
0.655 0.655 0.000
0.169 0.169 0.000
0.831 0.831 0.000
0.500 0.500 0.000

***

Y2Ho3Tm7, relaxed, DFT PBE-GGA; SG = No. 10; E above lowest polymorph = 0 meV/atom; formation enthalpy at 0 K = 0.086 eV per atom
1.0
6.250 0.000 0.000
0.000 3.478 0.000
-1.883 0.000 17.120
Y Ho Tm
2 3 7
direct
0.062 0.000 0.174
0.938 0.000 0.826
0.448 0.500 0.843
0.500 0.000 0.500
0.552 0.500 0.157
0.000 0.500 0.500
0.225 0.000 0.667
0.255 0.000 0.999
0.275 0.500 0.336
0.725 0.500 0.664
0.745 0.000 0.001
0.775 0.000 0.333

***

| no. | electronic total energy (eV for the cell shown) | M_tot (μB/f.u.) |
| --- | --- | --- |
| 1 | -14.25 | 0.0 |
| 2 | -39.51 | 0.0 |
| 3 | -17.72 | 0.0 |
| 4 | -16.62 | 3.9 |
| 5 | -76.21 | 0.0 |
| 6 | -23.59 | 0.4 |
| 7 | -40.62 | 0.0 |
| 8 | -56.93 | 0.0 |